## La3NdTm5 (PBE-GGA)

Data for an optimized crystal structure of La3NdTm5.

Cell: 9.8544 9.8544 7.0836 Å, 90.00 90.00 120.00°
Sites, in units of the cell vectors:
La1 0.0000 0.3558 0.2500
La2 0.0000 0.6442 0.7500
La3 0.3558 0.0000 0.2500
La4 0.3558 0.3558 0.7500
La5 0.6442 0.0000 0.7500
La6 0.6442 0.6442 0.2500
Nd1 0.0000 0.0000 0.0000
Nd2 0.0000 0.0000 0.5000
Tm1 0.0000 0.3179 0.7500
Tm2 0.0000 0.6821 0.2500
Tm3 0.3179 0.0000 0.7500
Tm4 0.3179 0.3179 0.2500
Tm5 0.3333 0.6667 0.0000
Tm6 0.3333 0.6667 0.5000
Tm7 0.6667 0.3333 0.0000
Tm8 0.6667 0.3333 0.5000
Tm9 0.6821 0.0000 0.2500
Tm10 0.6821 0.6821 0.7500

Computed properties:
- DFT formation energy (eV per atom) = 0.072
- raw total energy (eV per atom) = -4.584
- total moment (μB/cell) = 0.00

## La2Nd6Tm (PBE-GGA)

Data for an optimized crystal structure of La2Nd6Tm.

Cell: 3.6655 3.6655 27.3872 Å, 90.00 90.00 120.00°
Sites, in units of the cell vectors:
La1 0.0000 0.0000 0.1712
La2 0.0000 0.0000 0.8288
Nd1 0.0000 0.0000 0.3955
Nd2 0.0000 0.0000 0.6045
Nd3 0.6667 0.3333 0.0622
Nd4 0.6667 0.3333 0.2859
Nd5 0.6667 0.3333 0.7141
Nd6 0.6667 0.3333 0.9378
Tm1 0.6667 0.3333 0.5000

Computed properties:
- relative energy among the computed polymorphs (meV per atom) = 40
- DFT formation energy (eV per atom) = 0.059
- raw total energy (eV per atom) = -4.711
- total moment (μB/cell) = 0.00

## LaNd8Tm3 (PBE-GGA)

Data for an optimized crystal structure of LaNd8Tm3.

Cell: 6.3840 6.9221 9.4173 Å, 96.42 90.03 90.09°
Sites, in units of the cell vectors:
La1 0.0000 0.0000 0.0000
Nd1 0.3238 0.0024 0.5012
Nd2 0.4920 0.1648 0.1690
Nd3 0.4953 0.8311 0.8367
Nd4 0.4959 0.5016 0.4985
Nd5 0.8255 0.1666 0.6646
Nd6 0.8276 0.4961 0.0042
Nd7 0.8329 0.8328 0.3323
Nd8 0.9949 0.6606 0.6682
Tm1 0.3265 0.6588 0.1665
Tm2 0.3298 0.3349 0.8351
Tm3 0.9935 0.3374 0.3348

Computed properties:
- DFT formation energy (eV per atom) = 0.029
- raw total energy (eV per atom) = -4.678
- total moment (μB/cell) = 0.00

## La3Nd3Tm (PBE-GGA)

Data for an optimized crystal structure of La3Nd3Tm.

Cell: 8.9957 8.9957 8.9957 Å, 59.17 59.17 59.17°
Sites, in units of the cell vectors:
La1 0.0601 0.8095 0.3017
La2 0.1905 0.6983 0.9399
La3 0.3017 0.0601 0.8095
La4 0.6983 0.9399 0.1905
La5 0.8095 0.3017 0.0601
La6 0.9399 0.1905 0.6983
Nd1 0.0685 0.5662 0.7224
Nd2 0.2776 0.9315 0.4338
Nd3 0.4338 0.2776 0.9315
Nd4 0.5662 0.7224 0.0685
Nd5 0.7224 0.0685 0.5662
Nd6 0.9315 0.4338 0.2776
Tm1 0.3469 0.3469 0.3469
Tm2 0.6531 0.6531 0.6531

Computed properties:
- relative energy among the computed polymorphs (meV per atom) = 187
- DFT formation energy (eV per atom) = 0.217
- raw total energy (eV per atom) = -4.577
- total moment (μB/cell) = 0.00

## La2Nd3Tm8 (PBE-GGA)

Data for an optimized crystal structure of La2Nd3Tm8.

Cell: 11.1615 11.1615 5.5309 Å, 90.03 90.03 40.18°
Sites, in units of the cell vectors:
La1 0.2402 0.2402 0.4988
La2 0.7598 0.7598 0.5012
Nd1 0.0000 0.0000 0.5000
Nd2 0.2958 0.7042 0.0000
Nd3 0.7042 0.2958 0.0000
Tm1 0.1261 0.1261 0.9998
Tm2 0.1807 0.6039 0.4996
Tm3 0.3404 0.3404 0.9992
Tm4 0.3961 0.8193 0.5004
Tm5 0.6039 0.1807 0.4996
Tm6 0.6596 0.6596 0.0008
Tm7 0.8193 0.3961 0.5004
Tm8 0.8739 0.8739 0.0002

Computed properties:
- DFT formation energy (eV per atom) = 0.261
- raw total energy (eV per atom) = -4.349
- total moment (μB/cell) = 0.00

## La2Nd8Tm3 (PBE-GGA)

Data for an optimized crystal structure of La2Nd8Tm3.

Cell: 11.2137 11.2137 5.6736 Å, 90.01 90.01 40.31°
Sites, in units of the cell vectors:
La1 0.2404 0.2404 0.4994
La2 0.7596 0.7596 0.5006
Nd1 0.1266 0.1266 0.9997
Nd2 0.1940 0.6022 0.4999
Nd3 0.3337 0.3337 0.9996
Nd4 0.3978 0.8060 0.5001
Nd5 0.6022 0.1940 0.4999
Nd6 0.6663 0.6663 0.0004
Nd7 0.8060 0.3978 0.5001
Nd8 0.8734 0.8734 0.0003
Tm1 0.0000 0.0000 0.5000
Tm2 0.2852 0.7148 0.0000
Tm3 0.7148 0.2852 0.0000

Computed properties:
- DFT formation energy (eV per atom) = 0.197
- raw total energy (eV per atom) = -4.527
- total moment (μB/cell) = 0.00

## La11Nd9Tm4 (PBE-GGA)

Data for an optimized crystal structure of La11Nd9Tm4.

Cell: 15.8684 15.8684 3.7152 Å, 90.00 90.00 113.63°
Sites, in units of the cell vectors:
La1 0.0000 0.0000 0.0000
La2 0.0420 0.4025 0.0000
La3 0.1633 0.8367 0.0000
La4 0.2915 0.2915 0.0000
La5 0.3704 0.6296 0.0000
La6 0.4025 0.0420 0.0000
La7 0.5975 0.9580 0.0000
La8 0.6296 0.3704 0.0000
La9 0.7085 0.7085 0.0000
La10 0.8367 0.1633 0.0000
La11 0.9580 0.5975 0.0000
Nd1 0.0654 0.2140 0.5000
Nd2 0.1664 0.6276 0.5000
Nd3 0.2140 0.0654 0.5000
Nd4 0.3724 0.8336 0.5000
Nd5 0.5000 0.5000 0.5000
Nd6 0.6276 0.1664 0.5000
Nd7 0.7860 0.9346 0.5000
Nd8 0.8336 0.3724 0.5000
Nd9 0.9346 0.7860 0.5000
Tm1 0.2391 0.4426 0.5000
Tm2 0.4426 0.2391 0.5000
Tm3 0.5574 0.7609 0.5000
Tm4 0.7609 0.5574 0.5000

Computed properties:
- DFT formation energy (eV per atom) = 0.060
- raw total energy (eV per atom) = -4.731
- total moment (μB/cell) = 0.01

## La2Nd7Tm2 (PBE-GGA)

Data for an optimized crystal structure of La2Nd7Tm2.

Cell: 7.0403 7.0403 9.5701 Å, 90.00 90.00 122.72°
Sites, in units of the cell vectors:
La1 0.2485 0.2485 0.0000
La2 0.7515 0.7515 0.0000
Nd1 0.0000 0.0000 0.5000
Nd2 0.0000 0.5000 0.1858
Nd3 0.0000 0.5000 0.8142
Nd4 0.5000 0.0000 0.1858
Nd5 0.5000 0.0000 0.8142
Nd6 0.5000 0.5000 0.3217
Nd7 0.5000 0.5000 0.6783
Tm1 0.2691 0.7309 0.5000
Tm2 0.7309 0.2691 0.5000

Computed properties:
- relative energy among the computed polymorphs (meV per atom) = 189
- DFT formation energy (eV per atom) = 0.316
- raw total energy (eV per atom) = -4.427
- total moment (μB/cell) = 0.04

## La16Nd7Tm6 (PBE-GGA)

Data for an optimized crystal structure of La16Nd7Tm6.

Cell: 11.5187 11.5187 11.5187 Å, 60.00 60.00 60.00°
Sites, in units of the cell vectors:
La1 0.0485 0.6505 0.6505
La2 0.1247 0.1247 0.1247
La3 0.1247 0.1247 0.6258
La4 0.1247 0.6258 0.1247
La5 0.3495 0.3495 0.3495
La6 0.3495 0.3495 0.9515
La7 0.3495 0.9515 0.3495
La8 0.3742 0.8753 0.8753
La9 0.6258 0.1247 0.1247
La10 0.6505 0.0485 0.6505
La11 0.6505 0.6505 0.0485
La12 0.6505 0.6505 0.6505
La13 0.8753 0.3742 0.8753
La14 0.8753 0.8753 0.3742
La15 0.8753 0.8753 0.8753
La16 0.9515 0.3495 0.3495
Nd1 0.0000 0.0000 0.0000
Nd2 0.0000 0.0000 0.5000
Nd3 0.0000 0.5000 0.0000
Nd4 0.0000 0.5000 0.5000
Nd5 0.5000 0.0000 0.0000
Nd6 0.5000 0.0000 0.5000
Nd7 0.5000 0.5000 0.0000
Tm1 0.2609 0.2609 0.7391
Tm2 0.2609 0.7391 0.2609
Tm3 0.2609 0.7391 0.7391
Tm4 0.7391 0.2609 0.2609
Tm5 0.7391 0.2609 0.7391
Tm6 0.7391 0.7391 0.2609

Computed properties:
- DFT formation energy (eV per atom) = 0.207
- raw total energy (eV per atom) = -4.587
- total moment (μB/cell) = 0.00